1.
A plane-wave DFT calculation with PBE was carried out for crystalline Tc2TeOs at its relaxed geometry.

```
4
Lattice="-1.554 2.271 4.549 1.554 -2.271 4.549 1.554 2.271 -4.549" Properties=species:S:1:pos:R:3 pbc="T T T"
Tc 0.000 0.000 2.084
Tc 0.000 0.000 7.014
Te 1.554 0.000 0.000
Os 0.000 2.271 0.000
```

E_form (uncorrected) (eV/atom): 0.5731
Mass density (g cm⁻³): 13.29
Relative energy among the computed polymorphs (eV per atom): 0.153
Energy (eV per formula unit): -32.8



2.
A plane-wave DFT calculation with PBE was carried out for crystalline K2Rb2NaHg at its relaxed geometry.

```
12
Lattice="-4.483 9.129 4.493 4.483 -9.129 4.493 4.483 9.129 -4.493" Properties=species:S:1:pos:R:3 pbc="T T T"
K 2.018 1.989 0.000
K 2.018 -1.989 4.493
K 2.465 11.118 0.000
K 2.465 7.139 4.493
Rb 6.830 2.651 0.000
Rb 2.347 6.477 0.000
Rb 2.136 2.651 4.493
Rb -2.347 6.477 4.493
Na 4.483 0.000 2.247
Na 0.000 9.129 2.247
Hg 0.000 0.000 2.247
Hg 0.000 0.000 6.740
```

Mass density (g cm⁻³): 2.13
Energy relative to the elements (eV per atom): -0.030
Energy (eV per formula unit): -5.9



3.
A plane-wave DFT calculation with PBE was carried out for crystalline KRb2ZnPt at its relaxed geometry.

```
5
Lattice="6.701 0.000 0.000 0.000 6.701 0.000 0.000 0.000 4.941" Properties=species:S:1:pos:R:3 pbc="T T T"
K 0.000 0.000 0.000
Rb 0.000 3.350 2.471
Rb 3.350 0.000 2.471
Zn 3.350 3.350 0.000
Pt 3.350 3.350 2.471
```

Mass density (g cm⁻³): 3.52
Energy relative to the elements (eV per atom): 0.008
Energy (eV per formula unit): -10.3



4.
A plane-wave DFT calculation with PBE was carried out for crystalline Ag7BiAu4 at its relaxed geometry.

```
12
Lattice="5.326 -2.621 0.000 5.326 2.621 0.000 -5.067 0.000 8.830" Properties=species:S:1:pos:R:3 pbc="T T T"
Ag 0.000 0.000 0.000
Ag -1.500 0.000 5.439
Ag -2.454 0.000 8.022
Ag 1.370 0.000 4.868
Ag 4.216 0.000 3.962
Ag 8.040 0.000 0.808
Ag 7.085 0.000 3.391
Bi 5.326 0.000 0.000
Au -0.589 0.000 2.794
Au 2.182 0.000 2.041
Au 3.404 0.000 6.789
Au 6.174 0.000 6.036
```

Mass density (g cm⁻³): 11.80
Energy relative to the elements (eV per atom): 0.157
Energy (eV per formula unit): -35.1



5.
A plane-wave DFT calculation with PBE was carried out for crystalline KHf2VCr at its relaxed geometry.

```
5
Lattice="5.196 0.000 0.000 0.000 5.196 0.000 0.000 0.000 4.248" Properties=species:S:1:pos:R:3 pbc="T T T"
K 0.000 0.000 0.000
Hf 0.000 2.598 2.124
Hf 2.598 0.000 2.124
V 2.598 2.598 2.124
Cr 2.598 2.598 0.000
```

Mass density (g cm⁻³): 7.22
Energy relative to the elements (eV per atom): 1.184
Energy (eV per formula unit): -33.8



6.
A plane-wave DFT calculation with PBE was carried out for crystalline CsB2N2 at its relaxed geometry.

```
5
Lattice="-1.673 1.673 5.799 1.673 -1.673 5.799 1.673 1.673 -5.799" Properties=species:S:1:pos:R:3 pbc="T T T"
Cs 0.000 0.000 0.000
B 0.000 0.000 3.040
B 0.000 0.000 8.558
N 1.673 0.000 2.900
N 0.000 1.673 2.900
```

E_form (uncorrected) (eV/atom): 0.5437
Mass density (g cm⁻³): 4.67
Energy (eV per formula unit): -28.1



7.
A plane-wave DFT calculation with PBE was carried out for crystalline BaSr2Ca at its relaxed geometry.

```
4
Lattice="7.018 -2.116 0.000 7.018 2.116 0.000 -1.299 0.000 7.218" Properties=species:S:1:pos:R:3 pbc="T T T"
Ba 0.000 0.000 0.000
Sr 6.456 0.000 3.677
Sr 10.258 0.000 1.892
Ca 2.551 0.000 5.439
```

Mass density (g cm⁻³): 2.73
Energy relative to the elements (eV per atom): 0.025
Relative energy among the computed polymorphs (eV per atom): 0.009
Energy (eV per formula unit): -7.2



8.
A plane-wave DFT calculation with PBE was carried out for crystalline UCoGeH2 at its relaxed geometry.

```
10
Lattice="1.936 -5.210 0.000 1.936 5.210 0.000 0.000 0.000 5.608" Properties=species:S:1:pos:R:3 pbc="T T T"
U 1.936 2.991 4.206
U 1.936 -2.991 1.402
Co 1.936 0.000 0.000
Co 1.936 0.000 2.804
Ge 1.936 4.471 1.402
Ge 1.936 -4.471 4.206
H 1.936 1.620 0.365
H 1.936 1.620 2.438
H 1.936 -1.620 3.169
H 1.936 -1.620 5.242
```

Mass density (g cm⁻³): 10.91
Energy (eV per formula unit): -31.3



9.
A plane-wave DFT calculation with PBE was carried out for crystalline La2Tb2Pr at its relaxed geometry.

```
10
Lattice="-5.357 5.357 3.221 5.357 -5.357 3.221 5.357 5.357 -3.221" Properties=species:S:1:pos:R:3 pbc="T T T"
La 6.528 1.171 0.000
La 1.171 4.187 0.000
La 4.187 1.171 3.221
La -1.171 4.187 3.221
Tb 3.334 2.023 0.000
Tb 3.334 -2.023 3.221
Tb 2.023 7.380 0.000
Tb 2.023 3.334 3.221
Pr 0.000 0.000 1.611
Pr 0.000 0.000 4.832
```

Mass density (g cm⁻³): 6.61
Energy relative to the elements (eV per atom): 0.422
Relative energy among the computed polymorphs (eV per atom): 0.224
Energy (eV per formula unit): -21.8



10.
A plane-wave DFT calculation with PBE was carried out for crystalline Tl2SiNiS4 at its relaxed geometry.

```
16
Lattice="0.000 6.250 11.654 2.934 0.000 11.654 2.934 6.250 0.000" Properties=species:S:1:pos:R:3 pbc="T T T"
Tl 2.201 4.688 1.455
Tl 3.668 7.813 7.282
Tl 2.201 4.688 16.026
Tl 3.668 7.813 21.852
Si 2.201 4.688 8.740
Si 3.668 7.813 14.567
Ni 0.734 1.563 2.913
Ni 5.135 10.938 20.394
S 2.312 2.749 4.058
S 3.556 9.752 19.249
S 3.556 5.874 9.885
S 2.089 6.627 4.058
S 2.089 2.749 13.423
S 3.779 9.752 9.885
S 3.779 5.874 19.249
S 2.312 6.627 13.423
```

E_form (uncorrected) (eV/atom): -0.4184
Mass density (g cm⁻³): 4.85
Energy (eV per formula unit): -35.8